DFT (PBE) results for an optimized crystal structure of TlTc2Au.

Properties
Raw total energy in eV/cell: -24.258
M_tot in μB/f.u.: 0.0
Crystal system: monoclinic
Formation energy in eV/atom: 0.529
Volume in Å³ per cell: 69.3
Calculated density in g cm⁻³: 14.31

```
TlTc2Au
1.0
4.7237 -1.4767 0.0000
4.7237 1.4767 0.0000
-0.8563 0.0000 4.9681
Tl Tc Au
1 2 1
Direct
0.0000 0.0000 0.0000
0.4867 0.4867 0.4774
0.7561 0.7561 0.2957
0.2403 0.2403 0.7561
```

DFT (PBE) results for an optimized crystal structure of KTe4Au.

Properties
Raw total energy in eV/cell: -18.632
M_tot in μB/f.u.: 0.0
Crystal system: monoclinic
Uncorrected formation energy in eV per formula unit: -1.69
Volume in Å³ per cell: 213.6
Calculated density in g cm⁻³: 5.80

```
KTe4Au
1.0
6.2709 -2.0786 0.0000
6.2709 2.0786 0.0000
-4.4251 0.0000 8.1931
K Te Au
1 4 1
Direct
0.0000 0.0000 0.0000
0.2254 0.2254 0.8749
0.3470 0.3470 0.4676
0.6530 0.6530 0.5324
0.7746 0.7746 0.1251
0.0000 0.0000 0.5000
```

DFT (PBE) results for an optimized crystal structure of CuC3.

Properties
Raw total energy in eV/cell: -23.369
M_tot in μB/f.u.: 0.0
Crystal system: hexagonal
Formation energy in eV/atom: 2.100
Volume in Å³ per cell: 31.8
Calculated density in g cm⁻³: 5.20

```
CuC3
1.0
2.5011 0.0000 0.0000
-1.2506 2.1660 0.0000
0.0000 0.0000 5.8644
Cu C
1 3
Direct
0.0000 0.0000 0.0000
0.0000 0.0000 0.5000
0.3333 0.6667 0.3476
0.3333 0.6667 0.6524
```